(1)
VASP calculation (PBE) on crystalline Ir2RhCl at its relaxed geometry.

Computed properties:
E_form (uncorrected) = 68.9 kJ/mol of atoms
Relative energy among the computed polymorphs = 345 meV/atom

Unit cell a=9.048 b=2.789 c=4.921 alpha=90.00 beta=104.85 gamma=90.00
Sites, in units of the cell vectors:
Ir1 0.242 0.000 0.256
Ir2 0.258 0.500 0.744
Ir3 0.742 0.500 0.256
Ir4 0.758 0.000 0.744
Rh1 0.000 0.000 0.500
Rh2 0.500 0.500 0.500
Cl1 0.000 0.500 0.000
Cl2 0.500 0.000 0.000

=====

(2)
VASP calculation (PBE) on crystalline RbHfB at its relaxed geometry.

Computed properties:
DFT formation energy = 0.05 eV per atom
Relative energy among the computed polymorphs = 0 meV/atom

Unit cell a=3.183 b=3.468 c=14.233 alpha=91.37 beta=95.69 gamma=90.00
Sites, in units of the cell vectors:
Rb1 0.000 0.000 0.000
Rb2 0.170 0.934 0.318
Hf1 0.387 0.476 0.752
Hf2 0.805 0.457 0.566
B1 0.333 0.964 0.630
B2 0.859 0.970 0.688

=====

(3)
VASP calculation (PBE) on crystalline CaSiP2 at its relaxed geometry.

Computed properties:
E_form (uncorrected) = -12.6 kJ/mol of atoms

Unit cell a=3.278 b=4.997 c=8.896 alpha=90.00 beta=90.00 gamma=90.00
Sites, in units of the cell vectors:
Ca1 0.000 0.000 0.000
Ca2 0.500 0.500 0.500
Si1 0.000 0.500 0.790
Si2 0.500 0.000 0.290
P1 0.000 0.000 0.497
P2 0.000 0.500 0.197
P3 0.500 0.000 0.697
P4 0.500 0.500 0.997

=====

(4)
VASP calculation (PBE) on crystalline LiTaAlCr2 at its relaxed geometry.

Computed properties:
DFT formation energy = 1.19 eV per atom

Unit cell a=4.701 b=4.701 c=5.159 alpha=90.00 beta=90.00 gamma=90.00
Sites, in units of the cell vectors:
Li1 0.000 0.000 0.000
Ta1 0.500 0.500 0.500
Al1 0.500 0.500 0.000
Cr1 0.000 0.500 0.500
Cr2 0.500 0.000 0.500

=====

Going through the records in order, we get total DFT energy (no corrections) values of -0.442 -0.428 -0.345 -0.453 Ry per atom.